Record 1
This record from the Alexandria database describes a relaxed CeNpSb2 crystal. The functional is GGA-PBE.

Calculated values
V   322.6 Å³/cell
Total moment   0.786 μB per atom
Mass density   9.584 g/cm3
DOS(E_F)   29.6 states/eV/cell
Formation energy from raw total energies   0.20 eV per formula unit
VASP energy   -26.9 eV per formula unit

Cell and atoms, written as CIF:
```
data_CeNpSb2
_cell_length_a 3.2400
_cell_length_b 3.2400
_cell_length_c 35.4864
_cell_angle_alpha 90.00
_cell_angle_beta 90.00
_cell_angle_gamma 120.00
_space_group_name_H-M_alt 'R -3 m'
_space_group_IT_number 166
_space_group_name_Hall '-R 3 2"'
loop_
_atom_site_label
_atom_site_type_symbol
_atom_site_fract_x
_atom_site_fract_y
_atom_site_fract_z
_atom_site_occupancy
Ce1 Ce 0.0000 0.0000 0.0000 1
Np1 Np 0.0000 0.0000 0.5000 1
Sb1 Sb 0.0000 0.0000 0.0907 1
```

***

Record 2
This record from the Alexandria database describes a relaxed AcPm2Ho crystal. The functional is GGA-PBE.

Calculated values
V   143.2 Å³/cell
DFT formation energy   0.038 eV per atom
Total moment   0.000 μB per atom
Mass density   7.909 g/cm3
DOS(E_F)   6.5 states/eV/cell
VASP energy   -18.0 eV per formula unit

Cell and atoms, written as CIF:
```
data_AcPm2Ho
_cell_length_a 5.2122
_cell_length_b 5.2122
_cell_length_c 5.2704
_cell_angle_alpha 90.00
_cell_angle_beta 90.00
_cell_angle_gamma 90.00
_space_group_name_H-M_alt 'P 4/m m m'
_space_group_IT_number 123
_space_group_name_Hall '-P 4 2'
loop_
_atom_site_label
_atom_site_type_symbol
_atom_site_fract_x
_atom_site_fract_y
_atom_site_fract_z
_atom_site_occupancy
Ac1 Ac 0.0000 0.0000 0.0000 1
Pm1 Pm 0.0000 0.5000 0.5000 1
Ho1 Ho 0.5000 0.5000 0.0000 1
```